Density functional theory data (GGA-PBEsol) for ScTaAs2Se after structural relaxation.

Formation energy without anion corrections, eV/f.u.: 3.72
Magnetization, μB per atom: 0.40
Fermi-level density of states, states/eV per atom: 1.19
ρ, g/cm³: 6.46

Cell: 4.8871 4.8871 4.8935 Å, 90.00 90.00 90.00°
Space group P4/mmm (No. 123)
Inequivalent atoms, fractional coordinates:
Sc (0.0000, 0.0000, 0.0000) x1
Ta (0.5000, 0.5000, 0.5000) x1
As (0.0000, 0.5000, 0.0000) x2
Se (0.0000, 0.0000, 0.5000) x1